A relaxed K2RbNa crystal, computed with GGA-PBE.

CIF file:
```
data_K2RbNa
_cell_length_a 11.752
_cell_length_b 7.365
_cell_length_c 15.874
_cell_angle_alpha 90.00
_cell_angle_beta 129.58
_cell_angle_gamma 90.00
_symmetry_space_group_name_H-M 'P 1 21/c 1'
_symmetry_Int_Tables_number 14
_symmetry_space_group_name_Hall '-P 2ybc'
loop_
_atom_site_label
_atom_site_type_symbol
_atom_site_fract_x
_atom_site_fract_y
_atom_site_fract_z
K1 K 0.017 0.249 0.086
K2 K 0.225 0.748 0.293
Rb1 Rb 0.488 0.748 0.154
Na1 Na 0.245 0.250 0.456
```

Summary:
- magnetic moment (μB/cell) = 0.00
- excess energy over the best structure of this formula in the dataset (meV/atom) = 4
- N(E_F) (states/eV per cell) = 10.2
- V (Å³/f.u.) = 265
- energy of formation from the pure elements (meV per atom) = 22.3
- calculated density (Mg/m³) = 1.17